Material: LiSn2As2
Method: DFT, PBE
State: relaxed

Computed properties:
The value obtained for the relative energy among the computed polymorphs is 1.19 eV per formula unit. The total magnetic moment comes out at 0.000 μB per formula unit. The calculation puts the formation enthalpy at 0 K at -0.0150 eV/atom. The value obtained for the total DFT energy (no corrections) is -3.86 eV/atom.

The structure in POSCAR format:
```
LiSn2As2
1.0
5.874 0.000 0.000
0.000 5.874 0.000
2.937 2.937 3.581
Sn Li As
2 1 2
Direct
0.250 0.750 0.500
0.750 0.250 0.500
0.000 0.000 0.000
0.335 0.335 0.330
0.665 0.665 0.670
```